Version 1
First-principles (GGA-PBE) data for a relaxed structure of LuHgNO, as listed in OQMD via LeMat-Bulk.

Symmetry: P4/nmm
Total magnetization, μB/f.u.: 0.00
V, A^3/atom: 14.659

```
data_LuHgNO
_symmetry_space_group_name_H-M 'P 1'
_symmetry_Int_Tables_number 1
_cell_length_a 3.8765
_cell_length_b 3.8765
_cell_length_c 7.8038
_cell_angle_alpha 90.00
_cell_angle_beta 90.00
_cell_angle_gamma 90.00
loop_
_symmetry_equiv_pos_as_xyz
'x,y,z'
loop_
_atom_site_label
_atom_site_fract_x
_atom_site_fract_y
_atom_site_fract_z
Hg1 0.7500 0.2500 0.5000
Hg2 0.2500 0.7500 0.5000
Lu1 0.2500 0.2500 0.1288
Lu2 0.7500 0.7500 0.8712
N1 0.7500 0.7500 0.2954
N2 0.2500 0.2500 0.7046
O1 0.7500 0.2500 0.0000
O2 0.2500 0.7500 0.0000
```

Version 2
First-principles (GGA-PBE) data for a relaxed structure of LuHgNO, as listed in OQMD via LeMat-Bulk.

Symmetry: Pmc2_1
Total magnetization, μB/f.u.: 0.00
V, A^3/atom: 16.719

```
data_LuHgNO
_symmetry_space_group_name_H-M 'P 1'
_symmetry_Int_Tables_number 1
_cell_length_a 3.9305
_cell_length_b 5.6652
_cell_length_c 6.0066
_cell_angle_alpha 90.00
_cell_angle_beta 90.00
_cell_angle_gamma 90.00
loop_
_symmetry_equiv_pos_as_xyz
'x,y,z'
loop_
_atom_site_label
_atom_site_fract_x
_atom_site_fract_y
_atom_site_fract_z
Hg1 0.5000 0.9662 0.2213
Hg2 0.5000 0.4662 0.7787
Lu1 0.0000 0.4917 0.3059
Lu2 0.0000 0.9917 0.6941
N1 0.0000 0.8808 0.3451
N2 0.0000 0.3808 0.6549
O1 0.5000 0.4153 0.1875
O2 0.5000 0.9153 0.8125
```

Name the least stable of them. version 1.

Version 1
First-principles (GGA-PBE) data for a relaxed structure of LuHgNO, as listed in OQMD via LeMat-Bulk.

Symmetry: Pmc2_1
Total magnetization, μB/f.u.: 0.00
V, A^3/atom: 17.959

```
data_LuHgNO
_symmetry_space_group_name_H-M 'P 1'
_symmetry_Int_Tables_number 1
_cell_length_a 3.7393
_cell_length_b 6.0934
_cell_length_c 6.3054
_cell_angle_alpha 90.00
_cell_angle_beta 90.00
_cell_angle_gamma 90.00
loop_
_symmetry_equiv_pos_as_xyz
'x,y,z'
loop_
_atom_site_label
_atom_site_fract_x
_atom_site_fract_y
_atom_site_fract_z
Hg1 0.0000 0.5495 0.4145
Hg2 0.0000 0.0495 0.5855
Lu1 0.5000 0.9949 0.1444
Lu2 0.5000 0.4949 0.8556
N1 0.0000 0.8708 0.2899
N2 0.0000 0.3708 0.7101
O1 0.5000 0.3387 0.1460
O2 0.5000 0.8387 0.8540
```

Version 2
First-principles (GGA-PBE) data for a relaxed structure of LuHgNO, as listed in OQMD via LeMat-Bulk.

Symmetry: P4/nmm
Total magnetization, μB/f.u.: 0.00
V, A^3/atom: 13.801

```
data_LuHgNO
_symmetry_space_group_name_H-M 'P 1'
_symmetry_Int_Tables_number 1
_cell_length_a 4.9288
_cell_length_b 4.9288
_cell_length_c 4.5447
_cell_angle_alpha 90.00
_cell_angle_beta 90.00
_cell_angle_gamma 90.00
loop_
_symmetry_equiv_pos_as_xyz
'x,y,z'
loop_
_atom_site_label
_atom_site_fract_x
_atom_site_fract_y
_atom_site_fract_z
Hg1 0.2500 0.2500 0.0096
Hg2 0.7500 0.7500 0.9904
Lu1 0.7500 0.2500 0.5000
Lu2 0.2500 0.7500 0.5000
N1 0.7500 0.7500 0.4919
N2 0.2500 0.2500 0.5080
O1 0.7500 0.2500 0.0000
O2 0.2500 0.7500 0.0000
```

Name the least stable of them. version 2.

Version 1
First-principles (GGA-PBE) data for a relaxed structure of NaLuHgSe3, as listed in OQMD via LeMat-Bulk.

Symmetry: Cmcm
Total magnetization, μB/f.u.: 0.00
V, A^3/atom: 26.163

```
data_NaLuHgSe3
_symmetry_space_group_name_H-M 'P 1'
_symmetry_Int_Tables_number 1
_cell_length_a 7.2339
_cell_length_b 7.2339
_cell_length_c 11.0200
_cell_angle_alpha 90.00
_cell_angle_beta 90.00
_cell_angle_gamma 32.98
loop_
_symmetry_equiv_pos_as_xyz
'x,y,z'
loop_
_atom_site_label
_atom_site_fract_x
_atom_site_fract_y
_atom_site_fract_z
Hg1 0.4558 0.4558 0.2500
Hg2 0.5442 0.5442 0.7500
Lu1 0.0000 0.0000 0.0000
Lu2 0.0000 0.0000 0.5000
Na1 0.7531 0.7531 0.2500
Na2 0.2469 0.2469 0.7500
Se1 0.3621 0.3621 0.0451
Se2 0.0852 0.0852 0.2500
Se3 0.3621 0.3621 0.4549
Se4 0.6379 0.6379 0.5451
Se5 0.9148 0.9148 0.7500
Se6 0.6379 0.6379 0.9549
```

Version 2
First-principles (GGA-PBE) data for a relaxed structure of NaLuHgSe3, as listed in OQMD via LeMat-Bulk.

Symmetry: P2_1/m
Total magnetization, μB/f.u.: 0.00
V, A^3/atom: 26.969

```
data_NaLuHgSe3
_symmetry_space_group_name_H-M 'P 1'
_symmetry_Int_Tables_number 1
_cell_length_a 8.1130
_cell_length_b 4.1363
_cell_length_c 9.9506
_cell_angle_alpha 90.00
_cell_angle_beta 104.26
_cell_angle_gamma 90.00
loop_
_symmetry_equiv_pos_as_xyz
'x,y,z'
loop_
_atom_site_label
_atom_site_fract_x
_atom_site_fract_y
_atom_site_fract_z
Hg1 0.0962 0.2500 0.1047
Hg2 0.9038 0.7500 0.8953
Lu1 0.3310 0.7500 0.3568
Lu2 0.6690 0.2500 0.6432
Na1 0.7951 0.7500 0.2768
Na2 0.2049 0.2500 0.7232
Se1 0.2748 0.7500 0.0432
Se2 0.5648 0.2500 0.3546
Se3 0.0875 0.2500 0.3665
Se4 0.9125 0.7500 0.6335
Se5 0.4352 0.7500 0.6454
Se6 0.7252 0.2500 0.9568
```

Name the least stable of them. version 1.

Version 1
First-principles (GGA-PBE) data for a relaxed structure of LuNiHgSb, as listed in OQMD via LeMat-Bulk.

Symmetry: F-43m
Total magnetization, μB/f.u.: 0.00
V, A^3/atom: 20.725

```
data_LuNiHgSb
_symmetry_space_group_name_H-M 'P 1'
_symmetry_Int_Tables_number 1
_cell_length_a 4.8943
_cell_length_b 4.8943
_cell_length_c 4.8943
_cell_angle_alpha 60.00
_cell_angle_beta 60.00
_cell_angle_gamma 60.00
loop_
_symmetry_equiv_pos_as_xyz
'x,y,z'
loop_
_atom_site_label
_atom_site_fract_x
_atom_site_fract_y
_atom_site_fract_z
Hg1 0.5000 0.5000 0.5000
Lu1 0.2500 0.2500 0.2500
Ni1 0.7500 0.7500 0.7500
Sb1 0.0000 0.0000 0.0000
```

Version 2
First-principles (GGA-PBE) data for a relaxed structure of LuNiHgSb, as listed in OQMD via LeMat-Bulk.

Symmetry: F-43m
Total magnetization, μB/f.u.: 0.00
V, A^3/atom: 20.861

```
data_LuNiHgSb
_symmetry_space_group_name_H-M 'P 1'
_symmetry_Int_Tables_number 1
_cell_length_a 4.9050
_cell_length_b 4.9050
_cell_length_c 4.9050
_cell_angle_alpha 60.00
_cell_angle_beta 60.00
_cell_angle_gamma 60.00
loop_
_symmetry_equiv_pos_as_xyz
'x,y,z'
loop_
_atom_site_label
_atom_site_fract_x
_atom_site_fract_y
_atom_site_fract_z
Hg1 0.2500 0.2500 0.2500
Lu1 0.5000 0.5000 0.5000
Ni1 0.7500 0.7500 0.7500
Sb1 0.0000 0.0000 0.0000
```

Name the least stable of them. version 2.